No. 1
Density functional theory data (PBE) for Mo2Ir9Ru after structural relaxation.

Results
**ΔH_f (0 K)**: -0.1450 eV per atom
**Density of states at the Fermi level**: 10.3 states/eV per cell

Lattice parameters (Å, degrees): 4.758 6.152 6.724 68.39 89.82 74.90
Fractional coordinates of all 12 atoms:
Mo 0.087 0.239 0.088
Mo 0.913 0.761 0.912
Ir 0.166 0.501 0.670
Ir 0.246 0.748 0.246
Ir 0.330 0.999 0.833
Ir 0.415 0.246 0.416
Ir 0.500 0.500 0.000
Ir 0.585 0.754 0.584
Ir 0.670 0.001 0.167
Ir 0.754 0.252 0.754
Ir 0.834 0.499 0.330
Ru 0.000 0.000 0.500



No. 2
Density functional theory data (PBE) for BWSe2N after structural relaxation.

Results
**E above lowest polymorph**: 340 meV/atom
**Density of states at the Fermi level**: 3.0 states/eV per cell
**Formation energy without anion corrections**: 23.438 kcal/mol of atoms

Lattice parameters (Å, degrees): 5.041 5.041 3.800 90.00 90.00 90.00
Fractional coordinates of all 5 atoms:
B 0.000 0.000 0.000
W 0.500 0.500 0.500
Se 0.000 0.500 0.500
Se 0.500 0.000 0.500
N 0.500 0.500 0.000



No. 3
Density functional theory data (PBE) for Pa3Co2P2H4 after structural relaxation.

Results
**Density of states at the Fermi level**: 11.4 states/eV per cell
**Energy**: -6.622 eV per atom

Lattice parameters (Å, degrees): 9.999 9.999 9.999 157.96 157.96 31.37
Fractional coordinates of all 11 atoms:
Pa 0.000 0.000 0.000
Pa 0.167 0.167 0.000
Pa 0.833 0.833 0.000
Co 0.430 0.430 0.000
Co 0.570 0.570 0.000
P 0.311 0.311 0.000
P 0.689 0.689 0.000
H 0.076 0.576 0.500
H 0.424 0.924 0.500
H 0.576 0.076 0.500
H 0.924 0.424 0.500



No. 4
Density functional theory data (PBE) for NaZn2Sn5 after structural relaxation.

Results
**ΔH_f (0 K)**: 0.0310 eV per atom
**Density of states at the Fermi level**: 2.8 states/eV per cell

Lattice parameters (Å, degrees): 7.566 7.566 7.566 147.73 110.55 78.66
Fractional coordinates of all 8 atoms:
Na 0.000 0.000 0.000
Zn 0.245 0.745 0.500
Zn 0.755 0.255 0.500
Sn 0.145 0.353 0.792
Sn 0.438 0.647 0.792
Sn 0.500 0.000 0.500
Sn 0.562 0.353 0.208
Sn 0.855 0.647 0.208



No. 5
Density functional theory data (PBE) for NdGa4CoPd2 after structural relaxation.

Results
**ΔH_f (0 K)**: -0.5602 eV per atom
**Density of states at the Fermi level**: 4.7 states/eV per cell

Lattice parameters (Å, degrees): 9.139 9.139 9.139 26.88 26.88 26.88
Fractional coordinates of all 8 atoms:
Nd 0.000 0.000 0.000
Ga 0.136 0.136 0.136
Ga 0.403 0.403 0.403
Ga 0.597 0.597 0.597
Ga 0.864 0.864 0.864
Co 0.500 0.500 0.500
Pd 0.235 0.235 0.235
Pd 0.765 0.765 0.765



No. 6
Density functional theory data (PBE) for Ag2HgPdBr6 after structural relaxation.

Results
**Formation energy without anion corrections**: -7.574 kcal/mol of atoms

Lattice parameters (Å, degrees): 6.498 7.410 7.571 74.73 71.16 67.90
Fractional coordinates of all 10 atoms:
Ag 0.000 0.000 0.000
Ag 0.222 0.589 0.641
Hg 0.140 0.189 0.405
Pd 0.729 0.595 0.869
Br 0.067 0.358 0.979
Br 0.392 0.824 0.747
Br 0.402 0.388 0.340
Br 0.677 0.834 0.068
Br 0.740 0.345 0.703
Br 0.987 0.923 0.400



No. 7
Density functional theory data (PBE) for YIn3Cl6 after structural relaxation.

Results
**Density of states at the Fermi level**: 0.0 states/eV per cell
**Formation energy without anion corrections**: -32.744 kcal/mol of atoms

Lattice parameters (Å, degrees): 7.314 8.361 12.708 90.00 121.62 90.00
Fractional coordinates of all 20 atoms:
Y 0.000 0.000 0.000
Y 0.000 0.500 0.500
In 0.299 0.072 0.773
In 0.299 0.428 0.273
In 0.500 0.000 0.500
In 0.500 0.500 0.000
In 0.701 0.572 0.727
In 0.701 0.928 0.227
Cl 0.097 0.070 0.228
Cl 0.097 0.430 0.728
Cl 0.243 0.739 0.083
Cl 0.243 0.761 0.583
Cl 0.342 0.160 0.034
Cl 0.342 0.340 0.534
Cl 0.658 0.660 0.466
Cl 0.658 0.840 0.966
Cl 0.757 0.239 0.417
Cl 0.757 0.261 0.917
Cl 0.903 0.570 0.272
Cl 0.903 0.930 0.772



No. 8
Density functional theory data (PBE) for Cd2Ga2Au5 after structural relaxation.

Results
**ΔH_f (0 K)**: -0.0825 eV per atom
**Density of states at the Fermi level**: 5.0 states/eV per cell

Lattice parameters (Å, degrees): 7.843 7.843 7.093 90.00 90.00 54.69
Fractional coordinates of all 18 atoms:
Cd 0.205 0.205 0.000
Cd 0.295 0.295 0.500
Cd 0.705 0.705 0.500
Cd 0.795 0.795 0.000
Ga 0.151 0.849 0.647
Ga 0.349 0.651 0.147
Ga 0.651 0.349 0.853
Ga 0.849 0.151 0.353
Au 0.000 0.000 0.000
Au 0.020 0.728 0.346
Au 0.228 0.520 0.846
Au 0.272 0.980 0.346
Au 0.480 0.772 0.846
Au 0.500 0.500 0.500
Au 0.520 0.228 0.154
Au 0.728 0.020 0.654
Au 0.772 0.480 0.154
Au 0.980 0.272 0.654